# 1
In6Ga after structural relaxation, computed with GGA-PBE.

Properties
ΔE to the lowest computed polymorph: 0.00 eV/f.u.
Energy of formation from the pure elements: 0.15 eV per formula unit

Cell and atoms, written as CIF:
```
data_In6Ga
_chemical_formula_sum 'In12 Ga2'
_cell_length_a 9.060
_cell_length_b 5.440
_cell_length_c 8.256
_cell_angle_alpha 90.00
_cell_angle_beta 115.44
_cell_angle_gamma 90.00
_symmetry_space_group_name_H-M 'C 1 2/m 1'
_symmetry_Int_Tables_number 12
loop_
_symmetry_equiv_pos_as_xyz
'x,y,z'
'-x,-y,-z'
'-x,y,-z'
'x,-y,z'
'x+1/2,y+1/2,z'
'-x+1/2,-y+1/2,-z'
'-x+1/2,y+1/2,-z'
'x+1/2,-y+1/2,z'
loop_
_atom_site_label
_atom_site_type_symbol
_atom_site_fract_x
_atom_site_fract_y
_atom_site_fract_z
_atom_site_occupancy
In1 In 0.074 0.000 0.217 1
In2 In 0.139 0.500 0.917 1
In3 In 0.212 0.000 0.640 1
Ga1 Ga 0.000 0.500 0.500 1
```

# 2
TmGaHg2 after structural relaxation, computed with GGA-PBE.

Properties
Energy of formation from the pure elements: -0.95 eV per formula unit

Cell and atoms, written as CIF:
```
data_TmGaHg2
_chemical_formula_sum 'Tm1 Ga1 Hg2'
_cell_length_a 3.751
_cell_length_b 3.751
_cell_length_c 6.563
_cell_angle_alpha 90.00
_cell_angle_beta 90.00
_cell_angle_gamma 90.00
_symmetry_space_group_name_H-M 'P 4/m m m'
_symmetry_Int_Tables_number 123
_symmetry_space_group_name_Hall '-P 4 2'
loop_
_atom_site_label
_atom_site_type_symbol
_atom_site_fract_x
_atom_site_fract_y
_atom_site_fract_z
_atom_site_occupancy
Tm1 Tm 0.000 0.000 0.000 1
Ga1 Ga 0.000 0.000 0.500 1
Hg1 Hg 0.500 0.500 0.258 1
```

# 3
Ti2PdS after structural relaxation, computed with GGA-PBE.

Properties
Formation energy (no corrections): -0.537 eV per atom

Cell and atoms, written as CIF:
```
data_Ti2PdS
_chemical_formula_sum 'Ti8 Pd4 S4'
_cell_length_a 6.729
_cell_length_b 6.729
_cell_length_c 5.770
_cell_angle_alpha 90.00
_cell_angle_beta 90.00
_cell_angle_gamma 90.00
_symmetry_space_group_name_H-M 'I -4 2 d'
_symmetry_Int_Tables_number 122
_symmetry_space_group_name_Hall 'I -4 2bw'
loop_
_atom_site_label
_atom_site_type_symbol
_atom_site_fract_x
_atom_site_fract_y
_atom_site_fract_z
_atom_site_occupancy
Ti1 Ti 0.220 0.250 0.125 1
Pd1 Pd 0.000 0.000 0.500 1
S1 S 0.000 0.000 0.000 1
```

# 4
UNb6O16 after structural relaxation, computed with GGA-PBE.

Properties
ΔE to the lowest computed polymorph: 3.54 eV/f.u.
Formation energy (no corrections): -2.422 eV per atom

Cell and atoms, written as CIF:
```
data_UNb6O16
_chemical_formula_sum 'U1 Nb6 O16'
_cell_length_a 6.554
_cell_length_b 6.663
_cell_length_c 9.668
_cell_angle_alpha 106.65
_cell_angle_beta 101.18
_cell_angle_gamma 105.31
_symmetry_space_group_name_H-M 'P 1'
_symmetry_Int_Tables_number 1
loop_
_symmetry_equiv_pos_as_xyz
'x,y,z'
loop_
_atom_site_label
_atom_site_type_symbol
_atom_site_fract_x
_atom_site_fract_y
_atom_site_fract_z
_atom_site_occupancy
U1 U 0.000 0.000 0.000 1
Nb1 Nb 0.100 0.657 0.642 1
Nb2 Nb 0.472 0.213 0.921 1
Nb3 Nb 0.472 0.914 0.515 1
Nb4 Nb 0.564 0.425 0.623 1
Nb5 Nb 0.595 0.929 0.150 1
Nb6 Nb 0.868 0.418 0.284 1
O1 O 0.063 0.314 0.195 1
O2 O 0.124 0.696 0.443 1
O3 O 0.184 0.227 0.917 1
O4 O 0.274 0.495 0.678 1
O5 O 0.321 0.959 0.047 1
O6 O 0.333 0.956 0.711 1
O7 O 0.352 0.173 0.479 1
O8 O 0.524 0.865 0.317 1
O9 O 0.560 0.683 0.559 1
O10 O 0.584 0.417 0.833 1
O11 O 0.637 0.420 0.137 1
O12 O 0.674 0.031 0.961 1
O13 O 0.708 0.168 0.637 1
O14 O 0.806 0.437 0.488 1
O15 O 0.841 0.831 0.126 1
O16 O 0.925 0.708 0.780 1
```

# 5
CePm2PaP4 after structural relaxation, computed with GGA-PBE.

Properties
Energy of formation from the pure elements: -11.95 eV per formula unit

Cell and atoms, written as CIF:
```
data_CePm2PaP4
_chemical_formula_sum 'Ce1 Pm2 Pa1 P4'
_cell_length_a 7.051
_cell_length_b 4.073
_cell_length_c 7.057
_cell_angle_alpha 90.00
_cell_angle_beta 109.44
_cell_angle_gamma 90.00
_symmetry_space_group_name_H-M 'P 1 2/m 1'
_symmetry_Int_Tables_number 10
loop_
_symmetry_equiv_pos_as_xyz
'x,y,z'
'-x,-y,-z'
'-x,y,-z'
'x,-y,z'
loop_
_atom_site_label
_atom_site_type_symbol
_atom_site_fract_x
_atom_site_fract_y
_atom_site_fract_z
_atom_site_occupancy
Ce1 Ce 0.000 0.000 0.000 1
Pm1 Pm 0.500 0.000 0.500 1
Pm2 Pm 0.500 0.500 0.000 1
Pa1 Pa 0.000 0.500 0.500 1
P1 P 0.238 0.000 0.741 1
P2 P 0.240 0.500 0.253 1
```

# 6
FeReRu2S after structural relaxation, computed with GGA-PBE.

Properties
Formation energy (no corrections): 1.735 eV per atom

Cell and atoms, written as CIF:
```
data_FeReRu2S
_chemical_formula_sum 'Fe1 Re1 Ru2 S1'
_cell_length_a 4.396
_cell_length_b 4.396
_cell_length_c 4.446
_cell_angle_alpha 90.00
_cell_angle_beta 90.00
_cell_angle_gamma 90.00
_symmetry_space_group_name_H-M 'P 4/m m m'
_symmetry_Int_Tables_number 123
_symmetry_space_group_name_Hall '-P 4 2'
loop_
_atom_site_label
_atom_site_type_symbol
_atom_site_fract_x
_atom_site_fract_y
_atom_site_fract_z
_atom_site_occupancy
Fe1 Fe 0.000 0.000 0.000 1
Re1 Re 0.000 0.000 0.500 1
Ru1 Ru 0.000 0.500 0.000 1
S1 S 0.500 0.500 0.500 1
```